1.
This record from the Alexandria database describes a relaxed structure of La2GaPt. The functional is PBE.

## Properties
M_tot	0.000	Bohr magnetons per cell
space group	R-3m (166)
E	-21.8	eV for the cell shown

a = 4.116 Å, b = 4.116 Å, c = 8.348 Å
α = 75.73°, β = 75.73°, γ = 60.00°
Fractional coordinates of all 4 atoms:
La 0.259 0.259 0.224
La 0.741 0.741 0.776
Pt 0.000 0.000 0.000
Ga 0.500 0.500 0.500

***

2.
This record from the Alexandria database describes a relaxed structure of Pr4Ho5Sc. The functional is PBE.

## Properties
M_tot	0.000	Bohr magnetons per cell
space group	C2/m (12)
E	-45.6	eV for the cell shown

a = 5.028 Å, b = 8.599 Å, c = 9.267 Å
α = 115.03°, β = 105.74°, γ = 90.00°
Fractional coordinates of all 10 atoms:
Pr 0.972 0.218 0.945
Pr 0.324 0.074 0.649
Pr 0.676 0.926 0.351
Pr 0.028 0.782 0.055
Ho 0.500 0.500 0.000
Ho 0.827 0.378 0.653
Ho 0.836 0.789 0.672
Ho 0.173 0.622 0.347
Ho 0.164 0.211 0.328
Sc 0.500 0.000 0.000

***

3.
This record from the Alexandria database describes a relaxed structure of Sr3Al. The functional is PBE.

## Properties
M_tot	0.284	Bohr magnetons per cell
space group	P-6m2 (187)
E	-8.5	eV for the cell shown

a = 4.200 Å, b = 4.200 Å, c = 11.839 Å
α = 90.00°, β = 90.00°, γ = 120.00°
Fractional coordinates of all 4 atoms:
Sr 0.667 0.333 0.805
Sr 0.000 0.000 0.500
Sr 0.667 0.333 0.195
Al 0.000 0.000 0.000

***

4.
This record from the Alexandria database describes a relaxed structure of DyLuRhPb. The functional is PBE.

## Properties
M_tot	0.000	Bohr magnetons per cell
space group	F-43m (216)
E	-22.3	eV for the cell shown

a = 5.097 Å, b = 5.097 Å, c = 5.097 Å
α = 60.00°, β = 60.00°, γ = 60.00°
Fractional coordinates of all 4 atoms:
Lu 0.750 0.750 0.750
Rh 0.500 0.500 0.500
Dy 0.250 0.250 0.250
Pb 0.000 0.000 0.000

***

5.
This record from the Alexandria database describes a relaxed structure of CsAc2La. The functional is PBE.

## Properties
M_tot	0.000	Bohr magnetons per cell
space group	R-3m (166)
E	-13.2	eV for the cell shown

a = 3.983 Å, b = 3.983 Å, c = 14.522 Å
α = 82.12°, β = 82.12°, γ = 60.00°
Fractional coordinates of all 4 atoms:
La 0.500 0.500 0.500
Cs 0.000 0.000 0.000
Ac 0.095 0.095 0.714
Ac 0.905 0.905 0.286

***

6.
This record from the Alexandria database describes a relaxed structure of Li5Tc2N5. The functional is PBE.

## Properties
M_tot	0.000	Bohr magnetons per cell
space group	C2/m (12)
E	-76.5	eV for the cell shown

a = 2.891 Å, b = 5.339 Å, c = 8.701 Å
α = 108.25°, β = 90.00°, γ = 105.71°
Fractional coordinates of all 12 atoms:
N 0.000 0.000 0.000
N 0.668 0.337 0.796
N 0.105 0.209 0.396
N 0.332 0.663 0.204
N 0.895 0.791 0.604
Li 0.755 0.509 0.370
Li 0.327 0.655 0.929
Li 0.245 0.491 0.630
Li 0.673 0.345 0.071
Li 0.500 0.000 0.500
Tc 0.029 0.058 0.794
Tc 0.971 0.942 0.206

***

7.
This record from the Alexandria database describes a relaxed structure of Sr5RhI5. The functional is PBE.

## Properties
M_tot	0.967	Bohr magnetons per cell
space group	C2/m (12)
E	-36.7	eV for the cell shown

a = 6.536 Å, b = 8.583 Å, c = 9.462 Å
α = 107.40°, β = 90.00°, γ = 112.38°
Fractional coordinates of all 11 atoms:
Rh 0.000 0.000 0.000
I 0.706 0.411 0.340
I 0.000 0.000 0.500
I 0.683 0.365 0.838
I 0.317 0.635 0.162
I 0.294 0.589 0.660
Sr 0.500 0.000 0.000
Sr 0.868 0.736 0.145
Sr 0.138 0.277 0.292
Sr 0.132 0.264 0.855
Sr 0.862 0.723 0.708

***

8.
This record from the Alexandria database describes a relaxed structure of Pm2TePPd6. The functional is PBE.

## Properties
M_tot	0.000	Bohr magnetons per cell
space group	Pmmn (59)
E	-113.0	eV for the cell shown

a = 5.546 Å, b = 8.601 Å, c = 8.751 Å
α = 90.00°, β = 90.00°, γ = 90.00°
Fractional coordinates of all 20 atoms:
Pd 0.247 0.554 0.000
Pd 0.000 0.888 0.748
Pd 0.000 0.888 0.252
Pd 0.247 0.007 0.500
Pd 0.753 0.554 0.000
Pd 0.500 0.112 0.752
Pd 0.253 0.993 0.000
Pd 0.500 0.112 0.248
Pd 0.747 0.446 0.500
Pd 0.253 0.446 0.500
Pd 0.747 0.993 0.000
Pd 0.753 0.007 0.500
Pm 0.500 0.751 0.754
Pm 0.500 0.751 0.246
Pm 0.000 0.249 0.746
Pm 0.000 0.249 0.254
Te 0.000 0.706 0.500
Te 0.500 0.294 0.000
P 0.000 0.771 0.000
P 0.500 0.229 0.500

***

9.
This record from the Alexandria database describes a relaxed structure of AlCrCo2. The functional is PBE.

## Properties
M_tot	2.882	Bohr magnetons per cell
space group	Imm2 (44)
E	-28.0	eV for the cell shown

a = 4.757 Å, b = 4.757 Å, c = 4.757 Å
α = 144.82°, β = 130.34°, γ = 62.31°
Fractional coordinates of all 4 atoms:
Co 0.999 0.999 0.000
Co 0.747 0.247 0.500
Al 0.246 0.746 0.500
Cr 0.509 0.509 0.000

***

10.
This record from the Alexandria database describes a relaxed structure of ScCr2Se4. The functional is PBE.

## Properties
M_tot	6.732	Bohr magnetons per cell
space group	C2/m (12)
E	-45.7	eV for the cell shown

a = 3.718 Å, b = 6.546 Å, c = 7.196 Å
α = 116.65°, β = 104.97°, γ = 90.00°
Fractional coordinates of all 7 atoms:
Sc 0.000 0.000 0.000
Cr 0.258 0.275 0.516
Cr 0.742 0.725 0.484
Se 0.638 0.975 0.275
Se 0.131 0.461 0.263
Se 0.362 0.025 0.725
Se 0.869 0.539 0.737